(1)
VASP calculation (PBE) on an optimized crystal structure of AlFe3Au.

```
AlFe3Au
1.0
-0.7941 -0.9456 -4.1599
-1.0076 -4.0700 1.1175
-4.1453 1.1704 0.5252
Au Fe Al
1 3 1
Cartesian
-2.9735 -1.9226 -1.2586
-2.0726 0.5852 0.2626
-0.5038 -2.0350 0.5587
-0.3970 -0.4728 -2.0799
0.0000 0.0000 0.0000
```

Calculated values
* E_tot: -5.480 eV per atom
* calculated volume: 16.341 Å³/atom
* space group: No. 221

***

(2)
VASP calculation (PBE) on an optimized crystal structure of Al2FeAu.

```
Al2FeAu
1.0
-4.0681 0.8514 2.5284
-4.4472 -1.6991 1.0017
0.3657 -2.2961 3.7451
Al Au Fe
2 1 1
Cartesian
-8.4194 -0.9827 3.7319
-6.1408 -2.2592 5.2989
-4.0674 -1.6879 3.8296
-2.1120 -0.6335 1.5827
```

Calculated values
* E_tot: -5.042 eV per atom
* calculated volume: 14.603 Å³/atom
* space group: No. 8

***

(3)
VASP calculation (PBE) on an optimized crystal structure of AlFeAu2.

```
AlFeAu2
1.0
-0.9157 2.0187 -3.1527
2.1627 -2.3641 -2.1419
-6.7959 -5.7037 -4.0340
Al Fe Au
2 2 4
Cartesian
-2.0049 -4.1202 -4.4116
0.6235 -0.1727 -2.6473
-3.5440 -1.9288 -4.9170
0.0000 0.0000 0.0000
-4.0064 -4.5792 -7.6576
-2.0007 -0.4603 -3.2457
-0.4620 -2.6505 -2.7422
-4.6286 -4.4079 -5.0116
```

Calculated values
* E_tot: -4.514 eV per atom
* calculated volume: 17.374 Å³/atom
* space group: No. 122

***

Number 1: Fermi-level density of states 6.93 states/eV/f.u., formation energy 1002 meV/atom, ρ 7.96 g cm⁻³. Number 2: Fermi-level density of states 2.62 states/eV/f.u., formation energy -235 meV/atom, ρ 8.72 g cm⁻³. Number 3: Fermi-level density of states 3.25 states/eV/f.u., formation energy 176 meV/atom, ρ 11.39 g cm⁻³.